Density functional theory data (PBE) for crystalline NaPa2ReN5 at its relaxed geometry.

a b c (Å): 7.3963 7.3963 7.3963
angles (deg): 126.12 126.12 79.69
Closest atoms and distances in Å follow each position.
Atoms (fractional coordinates):
Na1 0.2500 0.2500 0.0000  10 N 2.84-2.91
Na2 0.7500 0.7500 0.0000  10 N 2.84-2.91
Pa1 0.1838 0.6838 0.8677  4 N 2.23-2.45
Pa2 0.3162 0.1838 0.5000  4 N 2.23-2.45
Pa3 0.6838 0.8162 0.5000  4 N 2.23-2.45
Pa4 0.8162 0.3162 0.1323  4 N 2.23-2.45
Re1 0.2500 0.7500 0.5000  4 N 1.89
Re2 0.7500 0.2500 0.5000  4 N 1.89
N1 0.0000 0.0000 0.0000  4 Pa 2.45
N2 0.0094 0.2260 0.5000  1 Re 1.89
N3 0.2260 0.7260 0.2166  1 Re 1.89
N4 0.2740 0.4906 0.5000  1 Re 1.89
N5 0.4906 0.9906 0.2166  1 Re 1.89
N6 0.5000 0.5000 0.0000  4 Pa 2.45
N7 0.5094 0.0094 0.7834  1 Re 1.89
N8 0.7260 0.5094 0.5000  1 Re 1.89
N9 0.7740 0.2740 0.7834  1 Re 1.89
N10 0.9906 0.7740 0.5000  1 Re 1.89

Summary:
For the final energy, the calculation gives -9.15 eV per atom. Its total magnetic moment is 0.00 μB/f.u. The density of states at the Fermi level is 11.13 states/eV per cell. The calculation puts the volume at 255 Å³/cell. Its symmetry is No. 140.



Density functional theory data (PBE) for crystalline Y2CdH at its relaxed geometry.

a b c (Å): 6.1508 6.1508 6.1508
angles (deg): 111.38 111.38 105.71
Closest atoms and distances in Å follow each position.
Atoms (fractional coordinates):
Y1 0.0240 0.6250 0.8990  2 H 2.22
Y2 0.3750 0.2740 0.3990  2 H 2.22
Y3 0.7260 0.1250 0.1010  2 H 2.22
Y4 0.8750 0.9760 0.6010  2 H 2.22
Cd1 0.2500 0.7500 0.5000  8 Y 3.13-3.44
Cd2 0.5000 0.5000 0.0000  8 Y 3.13-3.44
H1 0.0000 0.0000 0.0000  4 Y 2.22
H2 0.7500 0.2500 0.5000  4 Y 2.22

Summary:
Its total magnetic moment is 0.00 μB/f.u. The calculation puts the distance to the lowest polymorph of the same formula at 0.000 eV/atom. The density of states at the Fermi level is 7.37 states/eV per cell. The calculation puts the volume at 179 Å³/cell. Its symmetry is No. 122.



Density functional theory data (PBE) for crystalline InHgN at its relaxed geometry.

a b c (Å): 12.2153 4.2107 8.5128
angles (deg): 90.00 106.39 90.00
Closest atoms and distances in Å follow each position.
Atoms (fractional coordinates):
In1 0.1100 0.2498 0.2622  5 Hg 3.01-3.36
In2 0.1100 0.2502 0.7622  5 Hg 3.01-3.36
In3 0.8900 0.7498 0.2378  5 Hg 3.01-3.36
In4 0.8900 0.7502 0.7378  5 Hg 3.01-3.36
Hg1 0.1422 0.7499 0.0271  5 In 3.01-3.36
Hg2 0.1422 0.7501 0.5271  5 In 3.01-3.36
Hg3 0.8578 0.2499 0.4729  5 In 3.01-3.36
Hg4 0.8578 0.2501 0.9729  5 In 3.01-3.36
N1 0.4748 0.5699 0.4464  1 N 1.11
N2 0.4748 0.9301 0.9464  1 N 1.11
N3 0.5252 0.0699 0.0536  1 N 1.11
N4 0.5252 0.4301 0.5536  1 N 1.11

Summary:
Its total magnetic moment is 0.00 μB/f.u. The calculation puts the distance to the lowest polymorph of the same formula at 0.000 eV/atom. The density of states at the Fermi level is 5.41 states/eV per cell. The calculation puts the volume at 420 Å³/cell. Its symmetry is No. 14.



Density functional theory data (PBE) for crystalline YThTa4 at its relaxed geometry.

a b c (Å): 5.7444 5.7444 5.7444
angles (deg): 60.00 60.00 60.00
Closest atoms and distances in Å follow each position.
Atoms (fractional coordinates):
Y1 0.0000 0.0000 0.0000  12 Ta 3.37, 4 Th 3.52
Th1 0.7500 0.7500 0.7500  12 Ta 3.37, 4 Y 3.52
Ta1 0.3748 0.3748 0.3748  6 Ta 2.87-2.88
Ta2 0.3748 0.3748 0.8755  6 Ta 2.87-2.88
Ta3 0.3748 0.8755 0.3748  6 Ta 2.87-2.88
Ta4 0.8755 0.3748 0.3748  6 Ta 2.87-2.88

Summary:
For the final energy, the calculation gives -10.08 eV per atom. Its total magnetic moment is 0.00 μB/f.u. The density of states at the Fermi level is 3.56 states/eV per cell. The calculation puts the volume at 134 Å³/cell. Its symmetry is No. 216.



Density functional theory data (PBE) for crystalline CeSm2Mg at its relaxed geometry.

a b c (Å): 12.4444 12.4444 12.4444
angles (deg): 15.89 15.89 15.89
Closest atoms and distances in Å follow each position.
Atoms (fractional coordinates):
Ce1 0.0000 0.0000 0.0000  6 Ce 3.44, 6 Sm 3.47
Sm1 0.4104 0.4104 0.4104  1 Mg 3.30, 6 Sm 3.44, 3 Ce 3.47
Sm2 0.5896 0.5896 0.5896  1 Mg 3.30, 6 Sm 3.44, 3 Ce 3.47
Mg1 0.5000 0.5000 0.5000  2 Sm 3.30, 6 Mg 3.44

Summary:
Its total magnetic moment is 0.38 μB/f.u. The calculation puts the distance to the lowest polymorph of the same formula at 0.217 eV/atom. The density of states at the Fermi level is 5.94 states/eV per cell. The calculation puts the volume at 126 Å³/cell. Its symmetry is No. 166.



Density functional theory data (PBE) for crystalline Sm3Tl2O at its relaxed geometry.

a b c (Å): 7.7651 7.7651 7.0642
angles (deg): 98.54 98.54 50.14
Closest atoms and distances in Å follow each position.
Atoms (fractional coordinates):
Sm1 0.0925 0.9075 0.7500  1 O 2.26
Sm2 0.2886 0.4685 0.3668  1 O 2.26
Sm3 0.4685 0.2886 0.8668  1 O 2.26
Sm4 0.5315 0.7114 0.1332  1 O 2.26
Sm5 0.7114 0.5315 0.6332  1 O 2.26
Sm6 0.9075 0.0925 0.2500  1 O 2.26
Tl1 0.1079 0.2581 0.0398  1 Tl 3.08, 5 Sm 3.18-3.40
Tl2 0.2581 0.1079 0.5398  1 Tl 3.08, 5 Sm 3.18-3.40
Tl3 0.7419 0.8921 0.4602  1 Tl 3.08, 5 Sm 3.18-3.40
Tl4 0.8921 0.7419 0.9602  1 Tl 3.08, 5 Sm 3.18-3.40
O1 0.4353 0.5647 0.7500  3 Sm 2.26
O2 0.5647 0.4353 0.2500  3 Sm 2.26

Summary:
For the final energy, the calculation gives -5.06 eV per atom. Its total magnetic moment is 0.00 μB/f.u. The density of states at the Fermi level is 6.74 states/eV per cell. The calculation puts the volume at 323 Å³/cell. Its symmetry is No. 15.



Q: Which formula does entry 3 have?
A: InHgN